No. 1
# PrCuAg

A geometry-optimized PrCuAg structure (GGA-PBE, OQMD).

* magnetic moment: 0.00 μB/f.u.
* energy relative to the elements: -0.65 eV/f.u.
* relative energy among the computed polymorphs: 11 meV/atom

```
data_PrCuAg
_space_group_name_H-M_alt 'I m a 2'
_space_group_IT_number 46
_cell_length_a 4.6499
_cell_length_b 7.8764
_cell_length_c 7.2267
_cell_angle_alpha 90.00
_cell_angle_beta 90.00
_cell_angle_gamma 90.00
loop_
_space_group_symop_operation_xyz
'x,y,z'
'-x,-y,z'
'-x+1/2,y,z'
'x+1/2,-y,z'
'x+1/2,y+1/2,z+1/2'
'-x+1/2,-y+1/2,z+1/2'
'-x,y+1/2,z+1/2'
'x,-y+1/2,z+1/2'
loop_
_atom_site_label
_atom_site_type_symbol
_atom_site_fract_x
_atom_site_fract_y
_atom_site_fract_z
Pr1 Pr 0.2500 0.2134 0.0000
Cu1 Cu 0.2500 0.5697 0.2079
Ag1 Ag 0.2500 0.5973 0.7923
```


No. 2
# Pr4CuAg3

A geometry-optimized Pr4CuAg3 structure (GGA-PBE, OQMD).

* magnetic moment: 0.03 μB/f.u.
* energy relative to the elements: -1.84 eV/f.u.

```
data_Pr4CuAg3
_space_group_name_H-M_alt 'P 1 m 1'
_space_group_IT_number 6
_cell_length_a 5.9065
_cell_length_b 4.8438
_cell_length_c 7.5323
_cell_angle_alpha 90.00
_cell_angle_beta 90.28
_cell_angle_gamma 90.00
loop_
_space_group_symop_operation_xyz
'x,y,z'
'x,-y,z'
loop_
_atom_site_label
_atom_site_type_symbol
_atom_site_fract_x
_atom_site_fract_y
_atom_site_fract_z
Pr1 Pr 0.0000 0.0000 0.0000
Pr2 Pr 0.2205 0.0000 0.5120
Pr3 Pr 0.4956 0.5000 0.8605
Pr4 Pr 0.7299 0.5000 0.3708
Cu1 Cu 0.9927 0.5000 0.7236
Ag1 Ag 0.2268 0.5000 0.2245
Ag2 Ag 0.4992 0.0000 0.1494
Ag3 Ag 0.7287 0.0000 0.6493
```


No. 3
# Pr2CuAg

A geometry-optimized Pr2CuAg structure (GGA-PBE, OQMD).

* magnetic moment: 0.00 μB/f.u.
* energy relative to the elements: -0.80 eV/f.u.
* relative energy among the computed polymorphs: 8 meV/atom

```
data_Pr2CuAg
_space_group_name_H-M_alt 'P m n 21'
_space_group_IT_number 31
_cell_length_a 4.7536
_cell_length_b 7.4772
_cell_length_c 5.8357
_cell_angle_alpha 90.00
_cell_angle_beta 90.00
_cell_angle_gamma 90.00
loop_
_space_group_symop_operation_xyz
'x,y,z'
'-x+1/2,-y,z+1/2'
'-x,y,z'
'x+1/2,-y,z+1/2'
loop_
_atom_site_label
_atom_site_type_symbol
_atom_site_fract_x
_atom_site_fract_y
_atom_site_fract_z
Pr1 Pr 0.0000 0.0688 0.0000
Pr2 Pr 0.0000 0.5714 0.7724
Cu1 Cu 0.0000 0.2134 0.5037
Ag1 Ag 0.0000 0.7133 0.2663
```


No. 4
# PrCuAg

A geometry-optimized PrCuAg structure (GGA-PBE, OQMD).

* magnetic moment: 0.00 μB/f.u.
* energy relative to the elements: -0.66 eV/f.u.
* relative energy among the computed polymorphs: 9 meV/atom

```
data_PrCuAg
_space_group_name_H-M_alt 'I m m 2'
_space_group_IT_number 44
_cell_length_a 4.5951
_cell_length_b 7.2506
_cell_length_c 7.9247
_cell_angle_alpha 90.00
_cell_angle_beta 90.00
_cell_angle_gamma 90.00
loop_
_space_group_symop_operation_xyz
'x,y,z'
'-x,-y,z'
'-x,y,z'
'x,-y,z'
'x+1/2,y+1/2,z+1/2'
'-x+1/2,-y+1/2,z+1/2'
'-x+1/2,y+1/2,z+1/2'
'x+1/2,-y+1/2,z+1/2'
loop_
_atom_site_label
_atom_site_type_symbol
_atom_site_fract_x
_atom_site_fract_y
_atom_site_fract_z
Pr1 Pr 0.0000 0.0000 0.0000
Pr2 Pr 0.0000 0.5000 0.0677
Cu1 Cu 0.0000 0.2948 0.6991
Ag1 Ag 0.0000 0.2122 0.3686
```


No. 5
# Pr2CuAg3

A geometry-optimized Pr2CuAg3 structure (GGA-PBE, OQMD).

* magnetic moment: 0.00 μB/f.u.
* energy relative to the elements: -1.49 eV/f.u.

```
data_Pr2CuAg3
_space_group_name_H-M_alt 'C 1 m 1'
_space_group_IT_number 8
_cell_length_a 10.7437
_cell_length_b 4.7103
_cell_length_c 7.1904
_cell_angle_alpha 90.00
_cell_angle_beta 130.97
_cell_angle_gamma 90.00
loop_
_space_group_symop_operation_xyz
'x,y,z'
'x,-y,z'
'x+1/2,y+1/2,z'
'x+1/2,-y+1/2,z'
loop_
_atom_site_label
_atom_site_type_symbol
_atom_site_fract_x
_atom_site_fract_y
_atom_site_fract_z
Pr1 Pr 0.0000 0.0000 0.0000
Pr2 Pr 0.0720 0.0000 0.5689
Cu1 Cu 0.2047 0.5000 0.9931
Ag1 Ag 0.1999 0.5000 0.4012
Ag2 Ag 0.3599 0.0000 0.1508
Ag3 Ag 0.3842 0.0000 0.5982
```


No. 6
# PrCuAg

A geometry-optimized PrCuAg structure (GGA-PBE, OQMD).

* magnetic moment: 0.01 μB/f.u.
* energy relative to the elements: -0.20 eV/f.u.
* relative energy among the computed polymorphs: 160 meV/atom

```
data_PrCuAg
_space_group_name_H-M_alt 'F -4 3 m'
_space_group_IT_number 216
_space_group_name_Hall 'F -4 2 3'
_cell_length_a 6.6210
_cell_length_b 6.6210
_cell_length_c 6.6210
_cell_angle_alpha 90.00
_cell_angle_beta 90.00
_cell_angle_gamma 90.00
loop_
_atom_site_label
_atom_site_type_symbol
_atom_site_fract_x
_atom_site_fract_y
_atom_site_fract_z
Pr1 Pr 0.0000 0.0000 0.0000
Cu1 Cu 0.2500 0.2500 0.7500
Ag1 Ag 0.0000 0.0000 0.5000
```